Entry 1:
{"formula": "HoTh2Au6", "functional": "PBE-GGA", "state": "relaxed", "space_group": "No. 164", "mass_density_g_cm3": 14.25, "cell": [[-2.958, 2.125, 4.018], [-3.024, -5.915, 0.902], [5.613, 1.443, 3.369]], "species": ["Ho", "Au", "Au", "Au", "Au", "Au", "Au", "Th", "Th"], "fractional_positions": [[0.500, 0.000, 0.000], [0.178, 0.621, 0.811], [0.178, 0.189, 0.379], [0.178, 0.189, 0.811], [0.822, 0.379, 0.189], [0.822, 0.811, 0.189], [0.822, 0.811, 0.621], [0.333, 0.667, 0.333], [0.667, 0.333, 0.667]]}

***

Entry 2:
{"formula": "Ho2ThAu", "functional": "PBE-GGA", "state": "relaxed", "space_group": "No. 123", "polymorph_energy_ev_per_atom": 0.000, "mass_density_g_cm3": 11.67, "cell": [[3.608, 0.000, 0.000], [0.000, 3.608, 0.000], [0.000, 0.000, 8.295]], "species": ["Au", "Th", "Ho", "Ho"], "fractional_positions": [[0.500, 0.500, 0.000], [0.500, 0.500, 0.500], [0.000, 0.000, 0.790], [0.000, 0.000, 0.210]]}

***

Entry 3:
{"formula": "HoThAu2", "functional": "PBE-GGA", "state": "relaxed", "space_group": "No. 166", "polymorph_energy_ev_per_atom": 0.162, "mass_density_g_cm3": 12.13, "cell": [[-2.521, -1.332, -2.815], [1.339, -2.403, -2.914], [-2.008, -7.471, 2.482]], "species": ["Th", "Au", "Au", "Ho"], "fractional_positions": [[0.500, 0.500, 0.500], [0.252, 0.252, 0.244], [0.748, 0.748, 0.756], [0.000, 0.000, 0.000]]}

***

no.,total magnetic moment (μB per cell),uncorrected energy (eV/atom)
1,0.00,-4.92
2,0.00,-5.38
3,0.00,-5.22